DFT (PBE) results for a relaxed structure of DySbNO.

Results
energy above the lowest structure with this stoichiometry	0.2857	eV/atom
energy	-106.689	eV/cell
total magnetic moment	0.0	μB/f.u.

a b c (Å): 6.616 7.253 5.533
angles (deg): 90.00 90.00 90.00
Space group Pca2_1 (No. 29)
Inequivalent atoms, fractional coordinates:
Dy (0.084, 0.154, 0.000)
Sb (0.125, 0.677, 0.002)
N (0.086, 0.116, 0.584)
O (0.066, 0.420, 0.220)

***

DFT (PBE) results for a relaxed structure of DySbNO.

Results
energy above the lowest structure with this stoichiometry	0.2352	eV/atom
energy	-53.749	eV/cell
total magnetic moment	0.0	μB/f.u.

a b c (Å): 3.683 6.667 5.701
angles (deg): 90.00 90.00 90.00
Space group Pmc2_1 (No. 26)
Inequivalent atoms, fractional coordinates:
Dy (0.000, 0.156, 0.000)
Sb (0.500, 0.347, 0.481)
N (0.000, 0.177, 0.406)
O (0.500, 0.178, 0.800)